In2Ga2As: optimized geometry, GGA-PBE.

abc: 7.4750 7.4750 4.3567
angles: 90.00 90.00 90.00
With the nearest neighbours (Å) after each atom.
Sites, in units of the cell vectors:
In (0.1463, 0.3537, 0.0000)  2 As 2.86, 6 Ga 3.00-3.16, 1 In 3.09
In (0.3537, 0.8537, 0.0000)  2 As 2.86, 6 Ga 3.00-3.16, 1 In 3.09
In (0.6463, 0.1463, 0.0000)  2 As 2.86, 6 Ga 3.00-3.16, 1 In 3.09
In (0.8537, 0.6463, 0.0000)  2 As 2.86, 6 Ga 3.00-3.16, 1 In 3.09
Ga (0.1588, 0.6588, 0.5000)  6 In 3.00-3.16, 1 Ga 3.36
Ga (0.3412, 0.1588, 0.5000)  6 In 3.00-3.16, 1 Ga 3.36
Ga (0.6588, 0.8412, 0.5000)  6 In 3.00-3.16, 1 Ga 3.36
Ga (0.8412, 0.3412, 0.5000)  6 In 3.00-3.16, 1 Ga 3.36
As (0.0000, 0.0000, 0.0000)  4 In 2.86
As (0.5000, 0.5000, 0.0000)  4 In 2.86

Results
ΔH_f (0 K) ... 0.1598 eV per atom
E ... -15.4 eV per formula unit
Calculated volume ... 243.4 Å³/cell